Record 1
Entry from Alexandria: a relaxed structure of KBe2Rh (GGA-PBE).

Results
Offset from the most stable computed form ... 196 meV/atom
DFT total energy ... -3.85 eV/atom
Formation enthalpy at 0 K ... 122 meV/atom
Total moment ... 0.5 μB/f.u.
Calculated volume ... 65.8 Å³/f.u.

```
data_KBe2Rh
_symmetry_space_group_name_H-M 'P 1 2/m 1'
_symmetry_Int_Tables_number 10
_symmetry_space_group_name_Hall '-P 2y'
_cell_length_a 2.9485
_cell_length_b 2.9498
_cell_length_c 7.5630
_cell_angle_alpha 90.00
_cell_angle_beta 90.15
_cell_angle_gamma 90.00
loop_
_atom_site_label
_atom_site_fract_x
_atom_site_fract_y
_atom_site_fract_z
K1 0.0000 0.0000 0.0000
Be1 0.4989 0.5000 0.3553
Rh1 0.0000 0.0000 0.5000
```

Record 2
Entry from Alexandria: a relaxed structure of HgPRh2 (GGA-PBE).

Results
DFT total energy ... -5.46 eV/atom
Formation enthalpy at 0 K ... -359 meV/atom
Total moment ... 0.0 μB/f.u.
Calculated volume ... 68.7 Å³/f.u.

```
data_HgPRh2
_symmetry_space_group_name_H-M 'R 3 m'
_symmetry_Int_Tables_number 160
_symmetry_space_group_name_Hall 'R 3 -2"'
_cell_length_a 3.5701
_cell_length_b 3.5701
_cell_length_c 18.6752
_cell_angle_alpha 90.00
_cell_angle_beta 90.00
_cell_angle_gamma 120.00
loop_
_atom_site_label
_atom_site_fract_x
_atom_site_fract_y
_atom_site_fract_z
Hg1 0.0000 0.0000 0.0000
P1 0.0000 0.0000 0.8313
Rh1 0.0000 0.0000 0.2204
Rh2 0.0000 0.0000 0.4436
```

Record 3
Entry from Alexandria: a relaxed structure of Ba4NaCa (GGA-PBE).

Results
Offset from the most stable computed form ... 0 meV/atom
DFT total energy ... -1.81 eV/atom
Formation enthalpy at 0 K ... 25 meV/atom
Total moment ... 0.0 μB/f.u.
Calculated volume ... 338.9 Å³/f.u.

```
data_Ba4NaCa
_symmetry_space_group_name_H-M 'P 4/m m m'
_symmetry_Int_Tables_number 123
_symmetry_space_group_name_Hall '-P 4 2'
_cell_length_a 4.6534
_cell_length_b 4.6534
_cell_length_c 15.6486
_cell_angle_alpha 90.00
_cell_angle_beta 90.00
_cell_angle_gamma 90.00
loop_
_atom_site_label
_atom_site_fract_x
_atom_site_fract_y
_atom_site_fract_z
Ba1 0.0000 0.0000 0.1491
Ba2 0.5000 0.5000 0.3446
Na1 0.5000 0.5000 0.0000
Ca1 0.0000 0.0000 0.5000
```